No. 1
Material: Zr2SbPSe
Method: DFT, PBE
State: optimized geometry

Cell: 5.1115 4.5991 5.1115 Å, 90.00 90.00 90.00°
Closest atoms and distances in Å follow each position.
Element x y z (fractional)
Sb  0.5000  0.5000  0.5000  8 Zr 3.44, 4 P 3.61
Se  0.0000  0.0000  0.0000  2 P 2.30, 4 Zr 2.56
Zr  0.0000  0.0000  0.5000  2 Se 2.56
Zr  0.5000  0.0000  0.0000  2 Se 2.56
P  0.0000  0.5000  0.0000  2 Se 2.30

Space-group type   P4/mmm
Crystal system   tetragonal
ΔE_f (raw)   0.156 eV per atom


No. 2
Material: PmHoMgCu
Method: DFT, PBE
State: optimized geometry

Cell: 5.1820 5.1820 5.1820 Å, 60.00 60.00 60.00°
Closest atoms and distances in Å follow each position.
Element x y z (fractional)
Mg  0.7500  0.7500  0.7500  4 Ho 3.17, 4 Pm 3.17
Ho  0.5000  0.5000  0.5000  4 Mg 3.17, 4 Cu 3.17
Cu  0.2500  0.2500  0.2500  4 Ho 3.17, 4 Pm 3.17
Pm  0.0000  0.0000  0.0000  4 Cu 3.17, 4 Mg 3.17

Formation enthalpy at 0 K   -0.05 eV/atom
Space-group type   F-43m
Crystal system   cubic


No. 3
Material: Y2ZrMnIn
Method: DFT, PBE
State: optimized geometry

Cell: 5.3678 5.4589 5.3678 Å, 90.00 90.00 90.00°
Closest atoms and distances in Å follow each position.
Element x y z (fractional)
Y  0.0000  0.0000  0.5000  2 Zr 2.68
Y  0.5000  0.0000  0.0000  2 Zr 2.68
Mn  0.5000  0.5000  0.5000  4 In 3.80, 8 Y 3.83
Zr  0.0000  0.0000  0.0000  4 Y 2.68, 2 In 2.73
In  0.0000  0.5000  0.0000  2 Zr 2.73

Formation enthalpy at 0 K   1.42 eV/atom
Space-group type   P4/mmm
Crystal system   tetragonal


No. 4
Material: V3GaTe
Method: DFT, PBE
State: optimized geometry

Cell: 4.7332 4.7332 4.7332 Å, 90.00 90.00 90.00°
Closest atoms and distances in Å follow each position.
Element x y z (fractional)
Te  0.5000  0.5000  0.5000  12 V 3.35
Ga  0.0000  0.0000  0.0000  6 V 2.37
V  0.0000  0.5000  0.0000  2 Ga 2.37
V  0.0000  0.0000  0.5000  2 Ga 2.37
V  0.5000  0.0000  0.0000  2 Ga 2.37

Space-group type   Pm-3m
Crystal system   cubic
Relative energy among the computed polymorphs   0 meV/atom
ΔE_f (raw)   0.852 eV per atom


No. 5
Material: Dy6Er3Tl
Method: DFT, PBE
State: optimized geometry

Cell: 3.4849 12.6531 14.1617 Å, 100.37 90.00 90.00°
Closest atoms and distances in Å follow each position.
Element x y z (fractional)
Dy  0.7500  0.4888  0.6909  4 Er 3.27-3.47, 7 Dy 3.48-3.59
Dy  0.2500  0.5112  0.3091  4 Er 3.27-3.47, 7 Dy 3.48-3.59
Dy  0.7500  0.8077  0.0733  5 Er 3.32-3.58, 5 Dy 3.48-3.49, 2 Tl 3.66
Dy  0.2500  0.1923  0.9267  5 Er 3.32-3.58, 5 Dy 3.48-3.49, 2 Tl 3.66
Dy  0.7500  0.3424  0.1176  4 Er 3.36-3.51, 8 Dy 3.47-3.59
Dy  0.2500  0.6576  0.8824  4 Er 3.36-3.51, 8 Dy 3.47-3.59
Dy  0.7500  0.7522  0.3062  2 Tl 3.33, 1 Er 3.42, 5 Dy 3.48-3.52
Dy  0.2500  0.2478  0.6938  2 Tl 3.33, 1 Er 3.42, 5 Dy 3.48-3.52
Dy  0.7500  0.1156  0.4685  2 Tl 3.47, 8 Dy 3.48-3.75, 2 Er 3.63
Dy  0.2500  0.8844  0.5315  2 Tl 3.47, 8 Dy 3.48-3.75, 2 Er 3.63
Dy  0.7500  0.7720  0.7139  3 Er 3.22-3.43, 1 Tl 3.27, 5 Dy 3.47-3.54
Dy  0.2500  0.2280  0.2861  3 Er 3.22-3.43, 1 Tl 3.27, 5 Dy 3.47-3.54
Er  0.7500  0.4223  0.9038  6 Dy 3.27-3.51, 4 Er 3.48-3.52
Er  0.2500  0.5777  0.0962  6 Dy 3.27-3.51, 4 Er 3.48-3.52
Er  0.7500  0.6286  0.5017  5 Dy 3.22-3.47, 2 Er 3.48
Er  0.2500  0.3714  0.4983  5 Dy 3.22-3.47, 2 Er 3.48
Er  0.7500  0.0739  0.1027  6 Dy 3.32-3.58, 2 Tl 3.48, 4 Er 3.48-3.61
Er  0.2500  0.9261  0.8973  6 Dy 3.32-3.58, 2 Tl 3.48, 4 Er 3.48-3.61
Tl  0.7500  0.0318  0.7231  7 Dy 3.27-3.66, 2 Er 3.48, 2 Tl 3.48
Tl  0.2500  0.9682  0.2769  7 Dy 3.27-3.66, 2 Er 3.48, 2 Tl 3.48

Formation enthalpy at 0 K   0.01 eV/atom
Space-group type   P2_1/m
Crystal system   monoclinic
Relative energy among the computed polymorphs   0 meV/atom


No. 6
Material: TbY2Se
Method: DFT, PBE
State: optimized geometry

Cell: 3.8037 3.8037 9.6567 Å, 78.64 78.64 60.00°
Closest atoms and distances in Å follow each position.
Element x y z (fractional)
Tb  0.4996  0.4996  0.5012  6 Y 3.59-3.61, 6 Tb 3.80
Y  0.0657  0.0657  0.8029  3 Se 2.87
Y  0.2680  0.2680  0.1960  3 Se 2.87
Se  0.6667  0.6667  0.9999  6 Y 2.87

Space-group type   R3m
Crystal system   trigonal
Relative energy among the computed polymorphs   0 meV/atom
ΔE_f (raw)   -0.828 eV per atom


No. 7
Material: CoAuC3
Method: DFT, PBE
State: optimized geometry

Cell: 4.0546 4.0546 4.0546 Å, 90.00 90.00 90.00°
Closest atoms and distances in Å follow each position.
Element x y z (fractional)
Co  0.5000  0.5000  0.5000  12 C 2.87
C  0.0000  0.5000  0.0000  2 Au 2.03
C  0.0000  0.0000  0.5000  2 Au 2.03
C  0.5000  0.0000  0.0000  2 Au 2.03
Au  0.0000  0.0000  0.0000  6 C 2.03

Formation enthalpy at 0 K   3.39 eV/atom
Space-group type   Pm-3m
Crystal system   cubic
Relative energy among the computed polymorphs   1190 meV/atom


No. 8
Material: NiAgHg
Method: DFT, PBE
State: optimized geometry

Cell: 4.3314 4.3314 4.3314 Å, 60.00 60.00 60.00°
Closest atoms and distances in Å follow each position.
Element x y z (fractional)
Ag  0.0000  0.0000  0.0000  4 Ni 2.65
Hg  0.5000  0.5000  0.5000  4 Ni 2.65
Ni  0.7500  0.7500  0.7500  4 Hg 2.65, 4 Ag 2.65

Formation enthalpy at 0 K   0.33 eV/atom
Space-group type   F-43m
Crystal system   cubic
Relative energy among the computed polymorphs   151 meV/atom


No. 9
Material: SmY2Nb
Method: DFT, PBE
State: optimized geometry

Cell: 3.3239 3.3239 11.9000 Å, 81.97 81.97 60.00°
Closest atoms and distances in Å follow each position.
Element x y z (fractional)
Y  0.0823  0.0823  0.7531  1 Nb 2.90
Y  0.9177  0.9177  0.2469  1 Nb 2.90
Nb  0.0000  0.0000  0.0000  2 Y 2.90
Sm  0.5000  0.5000  0.5000  6 Sm 3.32, 6 Y 3.54

Formation enthalpy at 0 K   0.56 eV/atom
Space-group type   R-3m
Crystal system   trigonal


No. 10
Material: Hg4SeF3
Method: DFT, PBE
State: optimized geometry

Cell: 5.6433 7.4853 8.2950 Å, 90.00 90.00 90.00°
Closest atoms and distances in Å follow each position.
Element x y z (fractional)
Hg  0.0650  0.9476  0.0000  2 F 2.23
Hg  0.5646  0.2932  0.0000  3 F 2.37-2.65
Hg  0.0647  0.3436  0.3294  1 Se 2.77, 3 F 2.78-2.87, 2 Hg 2.83-3.07
Hg  0.5647  0.6564  0.1706  1 Se 2.77, 3 F 2.78-2.87, 2 Hg 2.83-3.07
Hg  0.0646  0.7068  0.5000  3 F 2.37-2.65
Hg  0.5650  0.0524  0.5000  2 F 2.23
Hg  0.5647  0.6564  0.8294  1 Se 2.77, 3 F 2.78-2.87, 2 Hg 2.83-3.07
Hg  0.0647  0.3436  0.6706  1 Se 2.77, 3 F 2.78-2.87, 2 Hg 2.83-3.07
Se  0.0645  0.2832  0.0000  3 Hg 2.51-2.77
Se  0.5645  0.7168  0.5000  3 Hg 2.51-2.77
F  0.5635  0.9766  0.0000  1 Hg 2.37
F  0.0642  0.7270  0.1815  1 Hg 2.23
F  0.5642  0.2730  0.3185  1 Hg 2.23
F  0.0635  0.0234  0.5000  1 Hg 2.37
F  0.5642  0.2730  0.6815  1 Hg 2.23
F  0.0642  0.7270  0.8185  1 Hg 2.23

Space-group type   Pmn2_1
Crystal system   orthorhombic
ΔE_f (raw)   -0.832 eV per atom


- What is the formula in the tenth record?
  Hg4SeF3


Repeat the sixth record exactly.
Material: TbY2Se
Method: DFT, PBE
State: optimized geometry

Cell: 3.8037 3.8037 9.6567 Å, 78.64 78.64 60.00°
Closest atoms and distances in Å follow each position.
Element x y z (fractional)
Tb  0.4996  0.4996  0.5012  6 Y 3.59-3.61, 6 Tb 3.80
Y  0.0657  0.0657  0.8029  3 Se 2.87
Y  0.2680  0.2680  0.1960  3 Se 2.87
Se  0.6667  0.6667  0.9999  6 Y 2.87

Space-group type   R3m
Crystal system   trigonal
Relative energy among the computed polymorphs   0 meV/atom
ΔE_f (raw)   -0.828 eV per atom


What did the fourth record say?
Material: V3GaTe
Method: DFT, PBE
State: optimized geometry

Cell: 4.7332 4.7332 4.7332 Å, 90.00 90.00 90.00°
Closest atoms and distances in Å follow each position.
Element x y z (fractional)
Te  0.5000  0.5000  0.5000  12 V 3.35
Ga  0.0000  0.0000  0.0000  6 V 2.37
V  0.0000  0.5000  0.0000  2 Ga 2.37
V  0.0000  0.0000  0.5000  2 Ga 2.37
V  0.5000  0.0000  0.0000  2 Ga 2.37

Space-group type   Pm-3m
Crystal system   cubic
Relative energy among the computed polymorphs   0 meV/atom
ΔE_f (raw)   0.852 eV per atom